# Ba2NiS | the Alexandria database | PBE | relaxed
data_Ba2NiS
_cell_length_a 7.2347
_cell_length_b 7.2347
_cell_length_c 7.2347
_cell_angle_alpha 113.18
_cell_angle_beta 113.18
_cell_angle_gamma 102.29
_symmetry_space_group_name_H-M 'P 1'
_symmetry_Int_Tables_number 1
_symmetry_space_group_name_Hall 'P 1'
loop_
_atom_site_label
_atom_site_type_symbol
_atom_site_fract_x
_atom_site_fract_y
_atom_site_fract_z
Ba1 Ba 0.1232 0.6250 0.9982
Ba2 Ba 0.3750 0.3732 0.4982
Ba3 Ba 0.6268 0.1250 0.0018
Ba4 Ba 0.8750 0.8768 0.5018
Ni1 Ni 0.0000 0.0000 0.0000
Ni2 Ni 0.7500 0.2500 0.5000
S1 S 0.2500 0.7500 0.5000
S2 S 0.5000 0.5000 0.0000
# DOS(E_F): 0.0 states/eV/f.u.
# space group: No. 122
# energy: -4.07 eV/atom
# ρ: 4.2 g cm⁻³
# formation energy (no corrections): -0.627 eV/atom